First-principles (PBE) data for an optimized crystal structure of KRbHgBi, as listed in the Alexandria database.

Cell lengths 4.0944, 5.6452, 7.3596 Å; angles 90.00, 106.15, 90.00 degrees
Fractional coordinates of all 4 atoms:
Hg 0.4315 0.0000 0.8630
Rb 0.8464 0.5000 0.6929
K 0.1500 0.0000 0.3001
Bi 0.5720 0.5000 0.1441

Computed properties:
The value obtained for the theoretical density is 5.43 g/cm3. For the magnetization, the calculation gives 0.00 μB/cell. The calculation puts the energy relative to the lowest polymorph listed for this composition at 0.00 kcal/mol of atoms. The crystal system is orthorhombic. As for the space group: Amm2, No. 38. The energy of formation is -97.7 kJ/mol of formula units.

First-principles (PBE) data for an optimized crystal structure of K2RbHg2Bi2, as listed in the Alexandria database.

Cell lengths 5.4102, 5.4102, 11.5038 Å; angles 76.40, 76.40, 60.00 degrees
Fractional coordinates of all 7 atoms:
Bi 0.7462 0.7462 0.7615
Bi 0.2538 0.2538 0.2385
K 0.8676 0.8676 0.3972
K 0.1324 0.1324 0.6028
Rb 0.0000 0.0000 0.0000
Hg 0.4094 0.4094 0.7718
Hg 0.5906 0.5906 0.2282

Computed properties:
The value obtained for the theoretical density is 5.81 g/cm3. For the magnetization, the calculation gives 0.00 μB/cell. The crystal system is trigonal. As for the space group: R-3m, No. 166. The energy of formation is -199.5 kJ/mol of formula units.